Zr2MoBr: optimized geometry, GGA-PBEsol.

a b c (Å): 3.527 5.251 5.248
angles (deg): 120.02 109.64 90.00
Element x y z (fractional)
Mo 0.000 0.500 0.000
Zr 0.748 0.748 0.496
Zr 0.252 0.252 0.504
Br 0.500 0.000 0.000

Values from the calculation:
Energy above the most stable polymorph in this dataset: 408 meV per atom
SG: Immm (71)

Ag3Cl: optimized geometry, GGA-PBEsol.

a b c (Å): 3.314 3.459 6.728
angles (deg): 90.00 90.47 90.00
Element x y z (fractional)
Ag 0.496 0.000 0.291
Ag 0.504 0.000 0.709
Ag 0.000 0.500 0.500
Cl 0.500 0.500 0.000

Values from the calculation:
Energy above the most stable polymorph in this dataset: 0 meV per atom
SG: P2/m (10)

ReNiMo: optimized geometry, GGA-PBEsol.

a b c (Å): 3.994 3.994 3.994
angles (deg): 60.00 60.00 60.00
Element x y z (fractional)
Mo 0.500 0.500 0.500
Re 0.000 0.000 0.000
Ni 0.250 0.250 0.250

Values from the calculation:
Energy of formation from the pure elements: 0.74 eV/atom
SG: F-43m (216)

E across the listed records, respectively: -31.03 -12.23 -29.03 eV for the cell shown.
DOS at the Fermi energy across the listed records, respectively: 3.4 0.7 2.5 states/eV/cell.